5
Lattice="4.9433 0.0000 0.0000 0.0000 4.9433 0.0000 0.0000 0.0000 3.9011" Properties=species:S:1:pos:R:3 comment="LiY2TcN, optimized geometry, DFT GGA-PBE" formation_energy_uncorrected_ev_per_atom=-0.562 dos_at_fermi_per_ev_cell=3.86 pbc="T T T"
Y 0.0000 2.4717 0.0000
Y 2.4717 0.0000 0.0000
Li 2.4717 2.4717 1.9505
Tc 0.0000 0.0000 1.9505
N 0.0000 0.0000 0.0000

16
Lattice="-1.9005 -4.9466 -0.6499 3.4027 -1.8398 4.0526 -4.7074 1.2167 4.5049" Properties=species:S:1:pos:R:3 comment="LiZn2TcN4, optimized geometry, DFT GGA-PBE" formation_energy_uncorrected_ev_per_atom=-0.121 pbc="T T T"
Li -3.6959 -4.6057 2.2581
Li 1.9161 -3.9886 3.0795
Zn -1.0263 -2.7797 2.1462
Zn -3.3513 -2.1788 4.3712
Zn -1.2646 -0.3281 6.1113
Zn 1.1178 -0.9438 3.8314
Tc -0.4985 -3.3834 5.2692
Tc 0.5962 -0.3240 0.7105
N -0.0011 -2.0380 0.5493
N -1.1972 -5.0426 4.9872
N -2.6407 -1.6033 2.5499
N 1.2336 -6.0208 2.9152
N -1.8499 -2.2466 5.7511
N -1.6286 -4.6890 1.7658
N -4.2110 -4.0216 4.2371
N 0.2750 -2.7958 3.7176